[1]
{"formula": "HoEr3Tm3S8", "functional": "PBE", "state": "optimized geometry", "lattice_angstrom": [[7.693, 0.000, 0.001], [-3.847, 6.663, -0.023], [0.001, -4.420, 6.302]], "species": ["Er", "Er", "Er", "S", "S", "S", "S", "S", "S", "S", "S", "Ho", "Tm", "Tm", "Tm"], "fractional_positions": [[0.000, 0.000, 0.000], [0.000, 0.500, 0.000], [0.500, 0.500, 0.000], [0.748, 0.001, 0.249], [0.746, 0.999, 0.751], [0.748, 0.495, 0.249], [0.252, 0.505, 0.751], [0.749, 0.499, 0.748], [0.251, 0.501, 0.252], [0.252, 0.999, 0.751], [0.254, 0.001, 0.249], [0.000, 0.000, 0.500], [0.500, 0.500, 0.500], [0.000, 0.500, 0.500], [0.500, 0.000, 0.500]], "energy_ev_per_atom": -6.34, "e_form_raw_ev_per_atom": -2.022}

[2]
{"formula": "RbCaMgAu2", "functional": "PBE", "state": "optimized geometry", "lattice_angstrom": [[5.288, 0.000, 0.000], [0.000, 5.618, 0.000], [0.000, 0.000, 5.288]], "species": ["Mg", "Au", "Au", "Rb", "Ca"], "fractional_positions": [[0.000, 0.000, 0.000], [0.500, 0.000, 0.000], [0.000, 0.000, 0.500], [0.000, 0.500, 0.000], [0.500, 0.500, 0.500]], "formation_energy_kj_per_mol_atoms": 12.8, "energy_ev_per_atom": -2.09}

[3]
{"formula": "BiBS3", "functional": "PBE", "state": "optimized geometry", "lattice_angstrom": [[6.916, 0.560, 2.116], [-2.907, 6.300, -2.116], [-1.800, -3.550, 6.065]], "species": ["Bi", "Bi", "S", "S", "S", "S", "S", "S", "B", "B"], "fractional_positions": [[0.553, 0.655, 0.398], [0.258, 0.155, 0.602], [0.586, 0.256, 0.279], [0.214, 0.930, 0.784], [0.586, 0.807, 0.830], [0.977, 0.307, 0.721], [0.977, 0.756, 0.170], [0.146, 0.430, 0.216], [0.057, 0.510, 0.047], [0.463, 0.010, 0.953]], "e_above_lowest_polymorph_mev_per_atom": 0, "energy_ev_per_atom": -4.79, "e_form_raw_ev_per_atom": -0.201}

[4]
{"formula": "Na2BeTcNi", "functional": "PBE", "state": "optimized geometry", "lattice_angstrom": [[-2.985, 2.159, 3.233], [-3.466, -0.582, -2.812], [-0.931, -4.355, 2.048]], "species": ["Na", "Na", "Ni", "Tc", "Be"], "fractional_positions": [[0.500, 0.000, 0.000], [0.000, 0.000, 0.500], [0.000, 0.000, 0.000], [0.000, 0.500, 0.000], [0.500, 0.500, 0.500]], "formation_energy_kj_per_mol_atoms": 130.1, "energy_ev_per_atom": -3.15}

[5]
{"formula": "TmScAl6", "functional": "PBE", "state": "optimized geometry", "lattice_angstrom": [[-0.960, -1.338, 5.129], [-4.210, -2.975, -1.564], [3.221, -4.287, -0.516]], "species": ["Al", "Al", "Al", "Al", "Al", "Al", "Tm", "Sc"], "fractional_positions": [[0.753, 0.000, 0.500], [0.500, 0.247, 0.000], [0.000, 0.500, 0.247], [0.000, 0.500, 0.753], [0.247, 0.000, 0.500], [0.500, 0.753, 0.000], [0.500, 0.500, 0.500], [0.000, 0.000, 0.000]], "formation_energy_kj_per_mol_atoms": -11.1, "e_above_lowest_polymorph_mev_per_atom": 281, "energy_ev_per_atom": -4.27}

[6]
{"formula": "Li2Y2HoPb2", "functional": "PBE", "state": "optimized geometry", "lattice_angstrom": [[-3.086, -0.617, 3.660], [-0.547, -4.366, 1.986], [5.325, 0.166, 7.701]], "species": ["Y", "Y", "Li", "Li", "Ho", "Pb", "Pb"], "fractional_positions": [[0.128, 0.128, 0.615], [0.872, 0.872, 0.385], [0.599, 0.599, 0.202], [0.401, 0.401, 0.798], [0.000, 0.000, 0.000], [0.735, 0.735, 0.795], [0.265, 0.265, 0.205]], "formation_energy_kj_per_mol_atoms": -30.6, "energy_ev_per_atom": -4.42}

[7]
{"formula": "Ce2Ho3Tm8", "functional": "PBE", "state": "optimized geometry", "lattice_angstrom": [[6.280, 0.468, 2.359], [2.529, 7.913, 4.311], [1.222, 0.461, 9.268]], "species": ["Tm", "Tm", "Tm", "Tm", "Tm", "Tm", "Tm", "Tm", "Ce", "Ce", "Ho", "Ho", "Ho"], "fractional_positions": [[0.065, 0.582, 0.582], [0.993, 0.809, 0.809], [0.935, 0.418, 0.418], [0.007, 0.191, 0.191], [0.440, 0.435, 0.800], [0.560, 0.200, 0.565], [0.440, 0.800, 0.435], [0.560, 0.565, 0.200], [0.518, 0.783, 0.783], [0.482, 0.217, 0.217], [0.500, 0.000, 0.000], [0.000, 0.826, 0.174], [0.000, 0.174, 0.826]], "formation_energy_kj_per_mol_atoms": 27.1, "energy_ev_per_atom": -4.44}

[8]
{"formula": "Al2ZnGe2", "functional": "PBE", "state": "optimized geometry", "lattice_angstrom": [[-1.739, 0.590, -3.668], [-3.139, -2.401, 1.102], [-5.311, 3.824, 0.840]], "species": ["Ge", "Ge", "Zn", "Al", "Al"], "fractional_positions": [[0.250, 0.750, 0.500], [0.750, 0.250, 0.500], [0.000, 0.000, 0.000], [0.393, 0.393, 0.215], [0.607, 0.607, 0.785]], "formation_energy_kj_per_mol_atoms": 22.5, "energy_ev_per_atom": -3.37}

Repeat the fourth record exactly.
{"formula": "Na2BeTcNi", "functional": "PBE", "state": "optimized geometry", "lattice_angstrom": [[-2.985, 2.159, 3.233], [-3.466, -0.582, -2.812], [-0.931, -4.355, 2.048]], "species": ["Na", "Na", "Ni", "Tc", "Be"], "fractional_positions": [[0.500, 0.000, 0.000], [0.000, 0.000, 0.500], [0.000, 0.000, 0.000], [0.000, 0.500, 0.000], [0.500, 0.500, 0.500]], "formation_energy_kj_per_mol_atoms": 130.1, "energy_ev_per_atom": -3.15}

Question: Which formula does entry 2 have?
Answer: RbCaMgAu2